ReRh5 | GGA-PBEsol | relaxed

a b c (Å): 3.7972 3.8103 5.9624
angles (deg): 90.00 108.57 90.00
Fractional coordinates of all 6 atoms:
Rh (0.6603, 0.0000, 0.3207)
Rh (0.1649, 0.5000, 0.3298)
Rh (0.3397, 0.0000, 0.6793)
Rh (0.5000, 0.5000, 0.0000)
Rh (0.8351, 0.5000, 0.6702)
Re (0.0000, 0.0000, 0.0000)

## Properties
volume = 81.77 Å³/f.u.
ρ = 14.23 Mg/m³
formation energy from the elements = -84.6 meV per atom

ReRh3 | GGA-PBEsol | relaxed

a b c (Å): 2.6796 3.8015 10.7430
angles (deg): 90.00 90.00 90.00
Fractional coordinates of all 8 atoms:
Rh (0.5000, 0.0000, 0.0652)
Rh (0.5000, 0.0000, 0.3103)
Rh (0.0000, 0.5000, 0.4389)
Rh (0.5000, 0.0000, 0.5611)
Rh (0.0000, 0.5000, 0.6897)
Rh (0.0000, 0.5000, 0.9348)
Re (0.5000, 0.0000, 0.8136)
Re (0.0000, 0.5000, 0.1864)

## Properties
volume = 54.72 Å³/f.u.
ρ = 15.02 Mg/m³
formation energy from the elements = -100.2 meV per atom

ReRh3 | GGA-PBEsol | relaxed

a b c (Å): 2.6733 3.8188 5.3607
angles (deg): 90.00 90.00 90.00
Fractional coordinates of all 4 atoms:
Rh (0.0000, 0.0000, 0.5000)
Rh (0.5000, 0.5000, 0.2470)
Rh (0.5000, 0.5000, 0.7530)
Re (0.0000, 0.0000, 0.0000)

## Properties
volume = 54.73 Å³/f.u.
ρ = 15.02 Mg/m³
formation energy from the elements = -84.4 meV per atom

Re3Rh | GGA-PBEsol | relaxed

a b c (Å): 2.7395 2.7395 8.7725
angles (deg): 90.00 90.00 120.00
Fractional coordinates of all 4 atoms:
Re (0.3333, 0.6667, 0.2525)
Re (0.0000, 0.0000, 0.0000)
Re (0.3333, 0.6667, 0.7475)
Rh (0.0000, 0.0000, 0.5000)

## Properties
volume = 57.02 Å³/f.u.
ρ = 19.27 Mg/m³
formation energy from the elements = -78.8 meV per atom

ReRh3 | GGA-PBEsol | relaxed

a b c (Å): 3.8003 3.8251 8.0063
angles (deg): 103.82 103.73 90.00
Fractional coordinates of all 8 atoms:
Rh (0.9334, 0.1834, 0.8668)
Rh (0.6888, 0.9388, 0.3776)
Rh (0.5617, 0.3117, 0.1235)
Rh (0.4383, 0.6883, 0.8765)
Rh (0.0666, 0.8166, 0.1332)
Rh (0.3112, 0.0612, 0.6224)
Re (0.8122, 0.5622, 0.6243)
Re (0.1878, 0.4378, 0.3757)

## Properties
volume = 54.79 Å³/f.u.
ρ = 15.00 Mg/m³
formation energy from the elements = -86.0 meV per atom

ReRh3 | GGA-PBEsol | relaxed

a b c (Å): 2.6859 2.6859 8.9380
angles (deg): 81.36 81.36 60.00
Fractional coordinates of all 4 atoms:
Rh (0.7490, 0.7490, 0.7530)
Rh (0.5000, 0.5000, 0.5000)
Rh (0.2510, 0.2510, 0.2470)
Re (0.0000, 0.0000, 0.0000)

## Properties
volume = 54.99 Å³/f.u.
ρ = 14.94 Mg/m³
formation energy from the elements = -52.6 meV per atom

ReRh2 | GGA-PBEsol | relaxed

a b c (Å): 2.6807 3.8095 4.6605
angles (deg): 114.12 106.71 90.00
Fractional coordinates of all 3 atoms:
Rh (0.3357, 0.3357, 0.6715)
Rh (0.6643, 0.6643, 0.3285)
Re (0.0000, 0.0000, 0.0000)

## Properties
volume = 41.22 Å³/f.u.
ρ = 15.79 Mg/m³
formation energy from the elements = -137.5 meV per atom

ReRh2 | GGA-PBEsol | relaxed

a b c (Å): 2.6996 2.6996 6.0186
angles (deg): 102.96 102.96 90.00
Fractional coordinates of all 3 atoms:
Rh (0.3378, 0.3378, 0.6756)
Rh (0.6622, 0.6622, 0.3244)
Re (0.0000, 0.0000, 0.0000)

## Properties
volume = 41.60 Å³/f.u.
ρ = 15.65 Mg/m³
formation energy from the elements = -133.6 meV per atom

ReRh2 | GGA-PBEsol | relaxed

a b c (Å): 2.7119 5.1082 6.3783
angles (deg): 103.61 90.00 105.39
Fractional coordinates of all 6 atoms:
Rh (0.6902, 0.3803, 0.1351)
Rh (0.3098, 0.6197, 0.8649)
Rh (0.3639, 0.7277, 0.4727)
Rh (0.6361, 0.2723, 0.5273)
Re (0.0273, 0.0546, 0.8066)
Re (0.9727, 0.9454, 0.1934)

## Properties
volume = 41.31 Å³/f.u.
ρ = 15.76 Mg/m³
formation energy from the elements = -141.2 meV per atom

Re3Rh5 | GGA-PBEsol | relaxed

a b c (Å): 2.6974 4.3112 9.4706
angles (deg): 90.00 90.00 90.00
Fractional coordinates of all 8 atoms:
Rh (0.5000, 0.0000, 0.2705)
Rh (0.5000, 0.0000, 0.7697)
Rh (0.5000, 0.5000, 0.6066)
Rh (0.5000, 0.5000, 0.1043)
Rh (0.0000, 0.5000, 0.3557)
Re (0.0000, 0.0000, 0.5175)
Re (0.0000, 0.0000, 0.0199)
Re (0.0000, 0.5000, 0.8559)

## Properties
volume = 110.13 Å³/f.u.
ρ = 16.18 Mg/m³
formation energy from the elements = -161.6 meV per atom

ReRh3 | GGA-PBEsol | relaxed

a b c (Å): 2.6798 4.6613 4.6613
angles (deg): 110.01 90.00 90.00
Fractional coordinates of all 4 atoms:
Rh (0.0000, 0.5000, 0.5000)
Rh (0.5000, 0.0000, 0.5000)
Rh (0.5000, 0.5000, 0.0000)
Re (0.0000, 0.0000, 0.0000)

## Properties
volume = 54.71 Å³/f.u.
ρ = 15.02 Mg/m³
formation energy from the elements = -52.4 meV per atom

ReRh3 | GGA-PBEsol | relaxed

a b c (Å): 3.8009 3.8009 4.6416
angles (deg): 114.17 114.17 90.00
Fractional coordinates of all 4 atoms:
Re (0.5000, 0.5000, 0.0000)
Rh (0.7500, 0.2500, 0.5000)
Rh (0.0000, 0.0000, 0.0000)
Rh (0.2500, 0.7500, 0.5000)

## Properties
volume = 54.67 Å³/f.u.
ρ = 15.03 Mg/m³
formation energy from the elements = -61.5 meV per atom